Density functional theory data (meta-GGA SCAN) for a PBEsol-optimized structure of LiFe3O4.

a b c (Å): 2.965 5.046 5.046
angles (deg): 72.21 89.99 89.99
Each line ends with the local moment (μB).
Atoms (fractional coordinates):
1 Li 0.500 0.500 0.000  0.01
2 O 0.500 0.744 0.244  0.33
3 O 0.500 0.256 0.756  0.33
4 O 0.000 0.754 0.746  0.31
5 O 0.000 0.246 0.254  0.31
6 Fe 0.500 0.000 0.500  3.82
7 Fe 0.000 0.000 0.000  3.87
8 Fe 0.000 0.500 0.500  3.87

Output
**Uncorrected formation energy**: -159 kJ/mol of atoms
**V**: 8.98 A^3/atom
**Total magnetization**: 1.625 μB/atom

---

Density functional theory data (meta-GGA SCAN) for a PBEsol-optimized structure of LiFeO2.

a b c (Å): 2.743 4.085 5.761
angles (deg): 90.00 90.00 90.00
Each line ends with the local moment (μB).
Atoms (fractional coordinates):
1 O 0.000 0.500 0.150  0.06
2 O 0.000 0.500 0.609  -0.01
3 O 0.500 0.000 0.391  -0.01
4 O 0.500 0.000 0.850  0.06
5 Li 0.000 0.000 0.109  0.00
6 Li 0.500 0.500 0.891  0.00
7 Fe 0.000 0.000 0.628  0.97
8 Fe 0.500 0.500 0.372  0.97

Output
**Uncorrected formation energy**: -175 kJ/mol of atoms
**V**: 8.07 A^3/atom
**Total magnetization**: 0.260 μB/atom

---

Density functional theory data (meta-GGA SCAN) for a PBEsol-optimized structure of LiFeO3.

a b c (Å): 3.640 3.640 3.640
angles (deg): 90.00 90.00 90.00
Each line ends with the local moment (μB).
Atoms (fractional coordinates):
1 Fe 0.000 0.000 0.000  2.63
2 O 0.000 0.500 0.000  0.35
3 O 0.500 0.000 0.000  0.35
4 O 0.000 0.000 0.500  0.35
5 Li 0.500 0.500 0.500  0.00

Output
**Uncorrected formation energy**: -128 kJ/mol of atoms
**V**: 9.65 A^3/atom
**Total magnetization**: 0.777 μB/atom

---

Density functional theory data (meta-GGA SCAN) for a PBEsol-optimized structure of Li5Fe3O8.

a b c (Å): 5.525 5.525 9.511
angles (deg): 90.00 90.00 120.00
Each line ends with the local moment (μB).
Atoms (fractional coordinates):
1 Li 0.670 0.835 0.952  0.00
2 Li 0.667 0.333 0.971  0.00
3 Li 0.333 0.667 0.719  0.00
4 Li 0.835 0.670 0.452  0.00
5 Li 0.333 0.667 0.471  0.00
6 Li 0.330 0.165 0.452  0.00
7 Li 0.165 0.330 0.952  0.00
8 Li 0.835 0.165 0.452  0.00
9 Li 0.165 0.835 0.952  0.00
10 Li 0.667 0.333 0.219  0.00
11 Fe 0.172 0.343 0.212  1.43
12 Fe 0.657 0.828 0.212  1.43
13 Fe 0.828 0.657 0.712  1.43
14 Fe 0.343 0.172 0.712  1.43
15 Fe 0.828 0.172 0.712  1.43
16 Fe 0.172 0.828 0.212  1.43
17 O 0.508 0.492 0.827  0.10
18 O 0.492 0.508 0.327  0.10
19 O 0.317 0.158 0.104  0.10
20 O 0.842 0.158 0.104  0.10
21 O 0.492 0.984 0.327  0.10
22 O 0.016 0.508 0.327  0.10
23 O 0.508 0.016 0.827  0.10
24 O 0.667 0.333 0.594  0.05
25 O 0.000 0.000 0.817  -0.02
26 O 0.158 0.842 0.604  0.10
27 O 0.842 0.683 0.104  0.10
28 O 0.683 0.842 0.604  0.10
29 O 0.333 0.667 0.094  0.05
30 O 0.158 0.317 0.604  0.10
31 O 0.984 0.492 0.827  0.10
32 O 0.000 0.000 0.317  -0.02

Output
**Uncorrected formation energy**: -185 kJ/mol of atoms
**V**: 7.86 A^3/atom
**Total magnetization**: 0.312 μB/atom

---

Density functional theory data (meta-GGA SCAN) for a PBEsol-optimized structure of Li5Fe5O12.

a b c (Å): 4.817 4.817 9.797
angles (deg): 85.55 85.55 120.79
Each line ends with the local moment (μB).
Atoms (fractional coordinates):
1 O 0.127 0.128 0.606  0.06
2 O 0.199 0.536 0.395  0.07
3 O 0.535 0.200 0.395  0.07
4 O 0.025 0.395 0.893  0.09
5 O 0.605 0.975 0.107  0.09
6 O 0.800 0.465 0.605  0.07
7 O 0.683 0.686 0.894  0.19
8 O 0.872 0.873 0.394  0.06
9 O 0.314 0.317 0.106  0.19
10 O 0.393 0.028 0.893  0.09
11 O 0.464 0.801 0.605  0.07
12 O 0.972 0.607 0.107  0.09
13 Fe 0.167 0.833 0.500  1.32
14 Fe 0.336 0.664 0.000  1.89
15 Fe 0.662 0.338 0.000  1.89
16 Fe 0.833 0.167 0.500  1.32
17 Fe 0.500 0.500 0.500  1.25
18 Li 0.083 0.766 0.766  0.00
19 Li 0.234 0.917 0.234  0.00
20 Li 0.915 0.236 0.234  0.00
21 Li 0.764 0.085 0.766  0.00
22 Li 0.999 0.001 0.000  0.01

Output
**Uncorrected formation energy**: -173 kJ/mol of atoms
**V**: 8.77 A^3/atom
**Total magnetization**: 0.409 μB/atom

---

Density functional theory data (meta-GGA SCAN) for a PBEsol-optimized structure of Li3FeO3.

a b c (Å): 3.735 8.423 8.423
angles (deg): 90.00 90.00 90.00
Each line ends with the local moment (μB).
Atoms (fractional coordinates):
1 O 0.500 0.104 0.104  0.06
2 O 0.000 0.613 0.830  0.11
3 O 0.000 0.830 0.613  0.11
4 O 0.500 0.113 0.670  0.11
5 O 0.500 0.330 0.887  0.11
6 O 0.000 0.604 0.396  0.06
7 O 0.000 0.170 0.387  0.11
8 O 0.500 0.670 0.113  0.11
9 O 0.000 0.396 0.604  0.06
10 O 0.500 0.887 0.330  0.11
11 O 0.500 0.896 0.896  0.06
12 O 0.000 0.387 0.170  0.11
13 Li 0.000 0.842 0.842  0.00
14 Li 0.000 0.133 0.610  0.00
15 Li 0.500 0.658 0.342  0.00
16 Li 0.500 0.633 0.890  0.00
17 Li 0.500 0.342 0.658  0.00
18 Li 0.500 0.890 0.633  0.00
19 Li 0.000 0.390 0.867  0.00
20 Li 0.000 0.610 0.133  0.00
21 Li 0.500 0.367 0.110  0.00
22 Li 0.500 0.110 0.367  0.00
23 Li 0.000 0.867 0.390  0.00
24 Li 0.000 0.158 0.158  0.00
25 Fe 0.000 0.619 0.619  2.68
26 Fe 0.000 0.381 0.381  2.68
27 Fe 0.500 0.881 0.119  2.68
28 Fe 0.500 0.119 0.881  2.68

Output
**Uncorrected formation energy**: -191 kJ/mol of atoms
**V**: 9.46 A^3/atom
**Total magnetization**: 0.429 μB/atom
**E above lowest polymorph**: 0.000 eV per formula unit

---

Density functional theory data (meta-GGA SCAN) for a PBEsol-optimized structure of Li9Fe5O12.

a b c (Å): 5.017 5.017 9.883
angles (deg): 85.32 80.60 60.00
Each line ends with the local moment (μB).
Atoms (fractional coordinates):
1 O 0.534 0.318 0.885  0.18
2 O 0.148 0.318 0.115  0.18
3 O 0.771 0.000 0.121  0.22
4 O 0.674 0.359 0.389  0.04
5 O 0.033 0.641 0.389  0.04
6 O 0.603 0.000 0.604  0.06
7 O 0.967 0.359 0.611  0.04
8 O 0.326 0.641 0.611  0.04
9 O 0.466 0.682 0.115  0.18
10 O 0.397 0.000 0.396  0.06
11 O 0.852 0.682 0.885  0.18
12 O 0.229 0.000 0.879  0.22
13 Fe 0.329 0.341 0.500  1.24
14 Fe 0.842 0.316 0.000  3.96
15 Fe 0.671 0.659 0.500  1.24
16 Fe 0.158 0.684 0.000  3.96
17 Fe 0.500 0.000 0.000  0.86
18 Li 0.756 0.000 0.310  0.00
19 Li 0.219 0.424 0.764  0.00
20 Li 0.000 0.000 0.500  0.00
21 Li 0.357 0.424 0.236  0.00
22 Li 0.776 0.000 0.756  0.01
23 Li 0.224 0.000 0.244  0.01
24 Li 0.643 0.576 0.764  0.00
25 Li 0.781 0.576 0.236  0.00
26 Li 0.244 0.000 0.690  0.00

Output
**Uncorrected formation energy**: -179 kJ/mol of atoms
**V**: 8.17 A^3/atom
**Total magnetization**: 0.500 μB/atom

---

Density functional theory data (meta-GGA SCAN) for a PBEsol-optimized structure of LiFeO2.

a b c (Å): 5.621 5.621 5.621
angles (deg): 60.00 60.00 60.00
Each line ends with the local moment (μB).
Atoms (fractional coordinates):
1 O 0.367 0.900 0.367  0.04
2 O 0.883 0.883 0.883  0.04
3 O 0.350 0.883 0.883  0.04
4 O 0.883 0.883 0.350  0.04
5 O 0.367 0.367 0.367  0.04
6 O 0.900 0.367 0.367  0.04
7 O 0.883 0.350 0.883  0.04
8 O 0.367 0.367 0.900  0.04
9 Li 0.625 0.625 0.125  0.00
10 Li 0.625 0.625 0.625  0.00
11 Li 0.625 0.125 0.625  0.00
12 Li 0.125 0.625 0.625  0.00
13 Fe 0.125 0.125 0.125  0.93
14 Fe 0.125 0.625 0.125  0.93
15 Fe 0.125 0.125 0.625  0.93
16 Fe 0.625 0.125 0.125  0.93

Output
**Uncorrected formation energy**: -178 kJ/mol of atoms
**V**: 7.85 A^3/atom
**Total magnetization**: 0.250 μB/atom

---

Density functional theory data (meta-GGA SCAN) for a PBEsol-optimized structure of Li2FeO3.

a b c (Å): 4.771 4.797 8.147
angles (deg): 90.00 90.00 90.00
Each line ends with the local moment (μB).
Atoms (fractional coordinates):
1 Li 0.250 0.500 0.239  0.00
2 Li 0.750 0.000 0.739  0.00
3 Li 0.750 0.000 0.426  0.00
4 Li 0.750 0.500 0.761  0.00
5 Li 0.750 0.500 0.074  0.00
6 Li 0.250 0.000 0.261  0.00
7 Li 0.250 0.500 0.926  0.00
8 Li 0.250 0.000 0.574  0.00
9 O 0.396 0.250 0.750  0.14
10 O 0.604 0.750 0.250  0.14
11 O 0.074 0.786 0.074  0.08
12 O 0.426 0.286 0.426  0.08
13 O 0.104 0.750 0.750  0.14
14 O 0.926 0.286 0.574  0.08
15 O 0.426 0.214 0.074  0.08
16 O 0.926 0.214 0.926  0.08
17 O 0.074 0.714 0.426  0.08
18 O 0.574 0.714 0.574  0.08
19 O 0.896 0.250 0.250  0.14
20 O 0.574 0.786 0.926  0.08
21 Fe 0.250 0.500 0.592  1.64
22 Fe 0.250 0.000 0.908  1.64
23 Fe 0.750 0.500 0.408  1.64
24 Fe 0.750 0.000 0.092  1.64

Output
**Uncorrected formation energy**: -183 kJ/mol of atoms
**V**: 7.77 A^3/atom
**Total magnetization**: 0.333 μB/atom

---

Density functional theory data (meta-GGA SCAN) for a PBEsol-optimized structure of Li2FeO3.

a b c (Å): 4.852 4.856 4.940
angles (deg): 70.59 80.39 59.99
Each line ends with the local moment (μB).
Atoms (fractional coordinates):
1 O 0.500 0.782 0.727  0.06
2 O 0.858 0.575 0.278  0.09
3 O 0.142 0.934 0.278  0.09
4 O 0.858 0.066 0.722  0.09
5 O 0.142 0.425 0.722  0.09
6 O 0.500 0.218 0.273  0.06
7 Li 0.179 0.661 0.000  0.00
8 Li 0.500 0.500 0.500  0.01
9 Li 0.821 0.339 0.000  0.00
10 Li 0.500 0.000 0.000  0.00
11 Fe 0.834 0.833 0.500  1.72
12 Fe 0.166 0.167 0.500  1.72

Output
**Uncorrected formation energy**: -190 kJ/mol of atoms
**V**: 7.92 A^3/atom
**Total magnetization**: 0.333 μB/atom

---

Density functional theory data (meta-GGA SCAN) for a PBEsol-optimized structure of LiFeO2.

a b c (Å): 4.482 4.482 5.414
angles (deg): 114.46 114.46 90.00
Each line ends with the local moment (μB).
Atoms (fractional coordinates):
1 O 0.890 0.375 0.250  0.35
2 O 0.625 0.640 0.750  0.35
3 O 0.360 0.875 0.250  0.35
4 O 0.125 0.110 0.750  0.35
5 Li 0.500 0.500 0.000  0.01
6 Li 0.750 0.250 0.500  0.01
7 Fe 0.250 0.750 0.500  4.07
8 Fe 0.000 0.000 0.000  4.07

Output
**Uncorrected formation energy**: -179 kJ/mol of atoms
**V**: 11.02 A^3/atom
**Total magnetization**: 1.250 μB/atom

---

Density functional theory data (meta-GGA SCAN) for a PBEsol-optimized structure of LiFeO2.

a b c (Å): 4.952 5.008 7.593
angles (deg): 69.73 70.76 79.09
Each line ends with the local moment (μB).
Atoms (fractional coordinates):
1 Li 0.213 0.500 0.592  0.01
2 Li 0.500 0.000 0.500  0.00
3 Li 0.614 0.506 0.778  0.00
4 Li 0.386 0.494 0.222  0.00
5 Li 0.787 0.500 0.408  0.01
6 O 0.130 0.218 0.457  0.08
7 O 0.669 0.742 0.938  0.27
8 O 0.774 0.256 0.239  0.24
9 O 0.331 0.258 0.062  0.27
10 O 0.870 0.782 0.543  0.08
11 O 0.949 0.226 0.842  0.25
12 O 0.433 0.768 0.343  0.20
13 O 0.567 0.232 0.657  0.20
14 O 0.051 0.774 0.158  0.25
15 O 0.226 0.744 0.761  0.24
16 Fe 0.098 0.005 0.307  1.28
17 Fe 0.685 0.999 0.105  3.99
18 Fe 0.315 0.001 0.895  3.99
19 Fe 0.902 0.995 0.693  1.28
20 Fe 0.000 0.500 0.000  4.01

Output
**Uncorrected formation energy**: -178 kJ/mol of atoms
**V**: 8.31 A^3/atom
**Total magnetization**: 0.851 μB/atom

---

Density functional theory data (meta-GGA SCAN) for a PBEsol-optimized structure of LiFe2P2O8.

a b c (Å): 5.129 10.098 13.196
angles (deg): 90.00 90.00 90.00
Each line ends with the local moment (μB).
Atoms (fractional coordinates):
1 Li 0.520 0.208 0.498  0.00
2 Li 0.480 0.708 0.498  0.00
3 Li 0.520 0.292 0.998  0.00
4 Li 0.480 0.792 0.998  0.00
5 Fe 0.468 0.710 0.753  3.87
6 Fe 0.468 0.790 0.253  3.87
7 Fe 0.532 0.210 0.753  3.87
8 Fe 0.893 0.457 0.498  3.92
9 Fe 0.107 0.957 0.498  3.92
10 Fe 0.107 0.543 0.998  3.92
11 Fe 0.893 0.043 0.998  3.92
12 Fe 0.532 0.290 0.253  3.87
13 P 0.980 0.794 0.868  0.02
14 P 0.020 0.294 0.868  0.02
15 P 0.598 0.539 0.127  0.02
16 P 0.402 0.461 0.627  0.02
17 P 0.980 0.706 0.368  0.02
18 P 0.020 0.206 0.368  0.02
19 P 0.598 0.961 0.627  0.02
20 P 0.402 0.039 0.127  0.02
21 O 0.998 0.944 0.884  0.12
22 O 0.489 0.525 0.727  0.10
23 O 0.892 0.248 0.268  0.10
24 O 0.892 0.252 0.768  0.10
25 O 0.462 0.191 0.129  0.08
26 O 0.462 0.309 0.629  0.08
27 O 0.108 0.748 0.268  0.10
28 O 0.890 0.514 0.110  0.12
29 O 0.447 0.478 0.035  0.09
30 O 0.312 0.251 0.370  0.08
31 O 0.873 0.227 0.959  0.09
32 O 0.127 0.727 0.959  0.09
33 O 0.110 0.486 0.610  0.12
34 O 0.553 0.978 0.035  0.09
35 O 0.688 0.749 0.870  0.08
36 O 0.002 0.056 0.384  0.12
37 O 0.538 0.691 0.129  0.08
38 O 0.998 0.556 0.384  0.12
39 O 0.110 0.014 0.110  0.12
40 O 0.108 0.752 0.768  0.10
41 O 0.312 0.249 0.870  0.08
42 O 0.890 0.986 0.610  0.12
43 O 0.002 0.444 0.884  0.12
44 O 0.447 0.022 0.535  0.09
45 O 0.489 0.975 0.227  0.10
46 O 0.538 0.809 0.629  0.08
47 O 0.511 0.025 0.727  0.10
48 O 0.127 0.773 0.459  0.09
49 O 0.511 0.475 0.227  0.10
50 O 0.688 0.751 0.370  0.08
51 O 0.873 0.273 0.459  0.09
52 O 0.553 0.522 0.535  0.09

Output
**Uncorrected formation energy**: -211 kJ/mol of atoms
**V**: 13.14 A^3/atom
**Total magnetization**: 0.692 μB/atom
**E above lowest polymorph**: 0.000 eV per formula unit

---

Density functional theory data (meta-GGA SCAN) for a PBEsol-optimized structure of LiFeP3O9.

a b c (Å): 6.310 6.310 6.310
angles (deg): 107.27 107.27 107.27
Each line ends with the local moment (μB).
Atoms (fractional coordinates):
1 P 0.490 0.047 0.915  0.01
2 P 0.047 0.915 0.490  0.01
3 P 0.915 0.490 0.047  0.01
4 O 0.127 0.083 0.375  0.03
5 O 0.083 0.375 0.127  0.03
6 O 0.375 0.127 0.083  0.03
7 O 0.913 0.968 0.644  0.03
8 O 0.883 0.640 0.284  0.00
9 O 0.284 0.883 0.640  0.00
10 O 0.968 0.644 0.913  0.03
11 O 0.644 0.913 0.968  0.03
12 O 0.640 0.284 0.883  0.00
13 Li 0.353 0.353 0.353  0.00
14 Fe 0.988 0.988 0.988  3.67

Output
**Uncorrected formation energy**: -219 kJ/mol of atoms
**V**: 14.84 A^3/atom
**Total magnetization**: 0.286 μB/atom
**E above lowest polymorph**: 0.230 eV per formula unit